Entry 1:
BaGdTlPb: optimized geometry, GGA-PBE.

a b c (Å): 5.7703 5.7703 5.7703
angles (deg): 60.00 60.00 60.00
Atoms (fractional coordinates):
Ba1 0.0000 0.0000 0.0000
Gd1 0.5000 0.5000 0.5000
Tl1 0.2500 0.2500 0.2500
Pb1 0.7500 0.7500 0.7500

Results
**Total moment**: 7.3 μB/f.u.
**DFT total energy**: -5.87 eV per atom
**Energy of formation**: -0.351 eV per atom
**V**: 135.9 Å³ per cell
**SG**: No. 216



Entry 2:
BaGdZnPb: optimized geometry, GGA-PBE.

a b c (Å): 5.6487 5.6487 5.6487
angles (deg): 60.00 60.00 60.00
Atoms (fractional coordinates):
Ba1 0.0000 0.0000 0.0000
Gd1 0.5000 0.5000 0.5000
Zn1 0.7500 0.7500 0.7500
Pb1 0.2500 0.2500 0.2500

Results
**Total moment**: 7.6 μB/f.u.
**DFT total energy**: -5.53 eV per atom
**Energy of formation**: -0.282 eV per atom
**V**: 127.4 Å³ per cell
**SG**: No. 216



Entry 3:
BaGd2Pd: optimized geometry, GGA-PBE.

a b c (Å): 3.6629 3.6629 9.7059
angles (deg): 90.00 90.00 90.00
Atoms (fractional coordinates):
Ba1 0.0000 0.0000 0.0000
Gd1 0.5000 0.5000 0.3334
Gd2 0.5000 0.5000 0.6666
Pd1 0.0000 0.0000 0.5000

Results
**Total moment**: 14.3 μB/f.u.
**DFT total energy**: -9.11 eV per atom
**Energy of formation**: -0.294 eV per atom
**V**: 130.2 Å³ per cell
**SG**: No. 123



Entry 4:
BaGd3Pd: optimized geometry, GGA-PBE.

a b c (Å): 5.6740 5.6740 5.6740
angles (deg): 90.00 90.00 90.00
Atoms (fractional coordinates):
Ba1 0.0000 0.0000 0.0000
Gd1 0.0000 0.5000 0.5000
Gd2 0.5000 0.0000 0.5000
Gd3 0.5000 0.5000 0.0000
Pd1 0.5000 0.5000 0.5000

Results
**Total moment**: 22.5 μB/f.u.
**DFT total energy**: -10.05 eV per atom
**Energy of formation**: -0.179 eV per atom
**V**: 182.7 Å³ per cell
**SG**: No. 221